(1)
The following is a DFT calculation (GGA-PBE) of HgGeNO2 after structural relaxation.

abc: 4.275 4.275 4.117
angles: 90.00 90.00 90.00
Sites, in units of the cell vectors:
Hg 0.000 0.000 0.000
Ge 0.500 0.500 0.500
N 0.000 0.000 0.500
O 0.000 0.500 0.000
O 0.500 0.000 0.000

Output
Raw formation energy   1.077 eV per atom
Magnetization   1.319 μB/f.u.

(2)
The following is a DFT calculation (GGA-PBE) of TbPmNd2Sm5 after structural relaxation.

abc: 10.121 10.121 10.121
angles: 128.55 128.55 75.74
Sites, in units of the cell vectors:
Tb 0.250 0.750 0.500
Tb 0.750 0.250 0.500
Pm 0.250 0.250 0.000
Pm 0.750 0.750 0.000
Nd 0.118 0.618 0.737
Nd 0.382 0.118 0.500
Nd 0.618 0.882 0.500
Nd 0.882 0.382 0.263
Sm 0.000 0.000 0.000
Sm 0.071 0.151 0.500
Sm 0.151 0.651 0.080
Sm 0.349 0.429 0.500
Sm 0.429 0.929 0.080
Sm 0.500 0.500 0.000
Sm 0.571 0.071 0.920
Sm 0.651 0.571 0.500
Sm 0.849 0.349 0.920
Sm 0.929 0.849 0.500

Output
ΔH_f (0 K)   0.27 eV/atom
Magnetization   0.000 μB/f.u.

(3)
The following is a DFT calculation (GGA-PBE) of Dy10Tl3Sb3 after structural relaxation.

abc: 8.960 8.960 6.562
angles: 90.00 90.00 120.00
Sites, in units of the cell vectors:
Dy 0.000 0.238 0.000
Dy 0.000 0.763 0.500
Dy 0.237 0.237 0.500
Dy 0.238 0.000 0.000
Dy 0.333 0.667 0.252
Dy 0.333 0.667 0.748
Dy 0.667 0.333 0.252
Dy 0.667 0.333 0.748
Dy 0.762 0.762 0.000
Dy 0.763 0.000 0.500
Tl 0.000 0.395 0.500
Tl 0.395 0.000 0.500
Tl 0.605 0.605 0.500
Sb 0.000 0.606 0.000
Sb 0.394 0.394 0.000
Sb 0.606 0.000 0.000

Output
Raw formation energy   -0.632 eV per atom
Magnetization   0.000 μB/f.u.